Record 1
# Al3CF GGA-PBE optimized geometry
data_Al3CF
_chemical_formula_sum 'Al3 C1 F1'
_space_group_name_H-M_alt 'P 1'
_space_group_IT_number 1
_cell_length_a 4.174
_cell_length_b 4.174
_cell_length_c 4.174
_cell_angle_alpha 90.00
_cell_angle_beta 90.00
_cell_angle_gamma 90.00
loop_
_space_group_symop_operation_xyz
'x,y,z'
loop_
_atom_site_label
_atom_site_fract_x
_atom_site_fract_y
_atom_site_fract_z
F1 0.500 0.500 0.500
C1 0.000 0.000 0.000
Al1 0.000 0.500 0.000
Al2 0.000 0.000 0.500
Al3 0.500 0.000 0.000
# energy relative to the elements, uncorrected = 0.194 eV/atom
# distance to the lowest polymorph of the same formula = 0 meV/atom
# space group = No. 221

Record 2
# AlH12C4NF4 GGA-PBE optimized geometry
data_AlH12C4NF4
_chemical_formula_sum 'Al1 H12 C4 N1 F4'
_space_group_name_H-M_alt 'P 1'
_space_group_IT_number 1
_cell_length_a 6.071
_cell_length_b 6.073
_cell_length_c 6.076
_cell_angle_alpha 90.01
_cell_angle_beta 89.99
_cell_angle_gamma 89.99
loop_
_space_group_symop_operation_xyz
'x,y,z'
loop_
_atom_site_label
_atom_site_fract_x
_atom_site_fract_y
_atom_site_fract_z
H1 0.258 0.469 0.751
H2 0.251 0.534 0.261
H3 0.747 0.259 0.466
C1 0.360 0.360 0.649
H4 0.257 0.256 0.544
H5 0.253 0.746 0.468
H6 0.749 0.542 0.744
F1 0.833 0.840 0.159
Al1 0.000 0.003 0.003
H7 0.744 0.749 0.531
H8 0.470 0.260 0.750
H9 0.533 0.255 0.260
H10 0.460 0.745 0.255
F2 0.842 0.168 0.840
F3 0.160 0.160 0.170
N1 0.500 0.502 0.502
F4 0.163 0.842 0.842
H11 0.742 0.466 0.254
C2 0.355 0.643 0.360
C3 0.644 0.648 0.642
C4 0.642 0.359 0.359
H12 0.537 0.750 0.744
# energy = -5.333 eV/atom
# space group = No. 1

Record 3
# Al2P2H8C2NO8F GGA-PBE optimized geometry
data_Al2P2H8C2NO8F
_chemical_formula_sum 'Al8 P8 H32 C8 N4 O32 F4'
_space_group_name_H-M_alt 'P 1'
_space_group_IT_number 1
_cell_length_a 8.714
_cell_length_b 9.530
_cell_length_c 12.860
_cell_angle_alpha 90.00
_cell_angle_beta 90.00
_cell_angle_gamma 112.87
loop_
_space_group_symop_operation_xyz
'x,y,z'
loop_
_atom_site_label
_atom_site_fract_x
_atom_site_fract_y
_atom_site_fract_z
O1 0.136 0.193 0.498
F1 0.131 0.511 0.539
Al1 0.320 0.873 0.118
H1 0.104 0.911 0.849
H2 0.941 0.878 0.943
N1 0.404 0.696 0.661
C1 0.512 0.384 0.403
Al2 0.820 0.873 0.382
H3 0.618 0.654 0.621
H4 0.896 0.089 0.151
O2 0.694 0.379 0.643
H5 0.382 0.346 0.379
O3 0.619 0.928 0.887
H6 0.441 0.878 0.557
H7 0.221 0.353 0.143
O4 0.306 0.621 0.357
Al3 0.591 0.566 0.098
P1 0.983 0.217 0.450
C2 0.031 0.138 0.138
O5 0.364 0.807 0.998
P2 0.955 0.708 0.212
H8 0.581 0.322 0.259
H9 0.410 0.918 0.690
H10 0.081 0.322 0.241
Al4 0.409 0.434 0.902
P3 0.017 0.783 0.550
O6 0.876 0.243 0.537
H11 0.924 0.494 0.890
H12 0.396 0.089 0.349
O7 0.636 0.193 0.002
H13 0.979 0.644 0.984
H14 0.479 0.644 0.516
P4 0.545 0.292 0.712
P5 0.045 0.292 0.788
O8 0.923 0.829 0.278
O9 0.624 0.757 0.037
C3 0.969 0.862 0.862
H15 0.521 0.356 0.484
O10 0.881 0.072 0.387
O11 0.957 0.649 0.629
O12 0.503 0.404 0.780
P6 0.483 0.217 0.050
H16 0.882 0.346 0.121
H17 0.590 0.082 0.310
P7 0.517 0.783 0.950
O13 0.864 0.807 0.502
O14 0.381 0.072 0.113
O15 0.396 0.205 0.639
H18 0.021 0.356 0.016
H19 0.779 0.647 0.857
P8 0.455 0.708 0.288
O16 0.104 0.795 0.139
H20 0.604 0.911 0.651
C4 0.488 0.616 0.597
H21 0.919 0.678 0.759
H22 0.059 0.122 0.057
O17 0.124 0.757 0.463
O18 0.376 0.243 0.963
O19 0.577 0.171 0.778
Al5 0.091 0.566 0.402
H23 0.279 0.647 0.643
C5 0.988 0.616 0.903
F2 0.369 0.489 0.039
N2 0.596 0.304 0.339
Al6 0.680 0.127 0.882
O20 0.497 0.596 0.220
H24 0.910 0.918 0.810
O21 0.806 0.621 0.143
H25 0.559 0.122 0.443
H26 0.424 0.494 0.610
O22 0.457 0.649 0.871
O23 0.423 0.829 0.222
C6 0.012 0.384 0.097
H27 0.118 0.654 0.879
O24 0.604 0.795 0.361
N3 0.096 0.304 0.161
H28 0.721 0.353 0.357
F3 0.631 0.511 0.961
O25 0.543 0.351 0.129
H29 0.419 0.678 0.741
O26 0.003 0.404 0.720
H30 0.076 0.506 0.110
N4 0.904 0.696 0.839
F4 0.869 0.489 0.461
O27 0.194 0.379 0.857
O28 0.043 0.351 0.371
H31 0.090 0.082 0.190
H32 0.576 0.506 0.390
O29 0.896 0.205 0.861
C7 0.531 0.138 0.362
C8 0.469 0.862 0.638
O30 0.119 0.928 0.613
O31 0.077 0.171 0.722
O32 0.997 0.596 0.280
Al7 0.909 0.434 0.598
Al8 0.180 0.127 0.618
# energy = -6.308 eV/atom
# space group = No. 14

Record 4
# Al2CNF GGA-PBE optimized geometry
data_Al2CNF
_chemical_formula_sum 'Al2 C1 N1 F1'
_space_group_name_H-M_alt 'P 1'
_space_group_IT_number 1
_cell_length_a 4.084
_cell_length_b 3.539
_cell_length_c 4.084
_cell_angle_alpha 90.00
_cell_angle_beta 90.00
_cell_angle_gamma 90.00
loop_
_space_group_symop_operation_xyz
'x,y,z'
loop_
_atom_site_label
_atom_site_fract_x
_atom_site_fract_y
_atom_site_fract_z
Al1 0.500 0.000 0.000
Al2 0.000 0.000 0.500
N1 0.000 0.000 0.000
C1 0.000 0.500 0.000
F1 0.500 0.500 0.500
# energy relative to the elements, uncorrected = 0.814 eV/atom
# space group = No. 123

Record 5
# AlCN2F GGA-PBE optimized geometry
data_AlCN2F
_chemical_formula_sum 'Al1 C1 N2 F1'
_space_group_name_H-M_alt 'P 1'
_space_group_IT_number 1
_cell_length_a 3.402
_cell_length_b 3.402
_cell_length_c 3.453
_cell_angle_alpha 90.00
_cell_angle_beta 90.00
_cell_angle_gamma 90.00
loop_
_space_group_symop_operation_xyz
'x,y,z'
loop_
_atom_site_label
_atom_site_fract_x
_atom_site_fract_y
_atom_site_fract_z
F1 0.000 0.000 0.500
Al1 0.500 0.500 0.500
N1 0.000 0.500 0.000
N2 0.500 0.000 0.000
C1 0.000 0.000 0.000
# energy relative to the elements, uncorrected = 1.213 eV/atom
# distance to the lowest polymorph of the same formula = 0 meV/atom
# space group = No. 123

Record 6
# AlCNF2 GGA-PBE optimized geometry
data_AlCNF2
_chemical_formula_sum 'Al1 C1 N1 F2'
_space_group_name_H-M_alt 'P 1'
_space_group_IT_number 1
_cell_length_a 4.679
_cell_length_b 4.679
_cell_length_c 2.474
_cell_angle_alpha 90.00
_cell_angle_beta 90.00
_cell_angle_gamma 90.00
loop_
_space_group_symop_operation_xyz
'x,y,z'
loop_
_atom_site_label
_atom_site_fract_x
_atom_site_fract_y
_atom_site_fract_z
N1 0.000 0.000 0.500
Al1 0.500 0.500 0.500
F1 0.000 0.500 0.000
C1 0.000 0.000 0.000
F2 0.500 0.000 0.000
# energy relative to the elements, uncorrected = -0.387 eV/atom
# distance to the lowest polymorph of the same formula = 0 meV/atom
# space group = No. 123